## CuRuSe2 (PBE)

Data for CuRuSe2 after structural relaxation.

Lattice parameters (Å, degrees): 7.0069 7.0069 7.0069 30.65 30.65 30.65
Closest atoms and distances in Å follow each position.
Element x y z (fractional)
Cu (0.5008, 0.5008, 0.5008)  3 Se 2.32
Ru (0.7546, 0.7546, 0.7546)  3 Se 2.42, 3 Cu 2.67
Se (0.0316, 0.0316, 0.0316)  3 Ru 2.42
Se (0.2130, 0.2130, 0.2130)  3 Cu 2.32

Computed properties:
ΔE_f (raw)   0.073 eV/atom
Total energy   -20.05 eV/f.u.
Fermi-level density of states   2.165 states/eV/f.u.